Record 1
K4MoRu | GGA-PBE | relaxed

a = 6.8299 Å, b = 6.8299 Å, c = 6.8299 Å
α = 60.00°, β = 60.00°, γ = 60.00°
Fractional positions:
1 K 0.8775 0.3742 0.3742
2 K 0.3742 0.3742 0.8775
3 K 0.3742 0.8775 0.3742
4 K 0.3742 0.3742 0.3742
5 Mo 0.7500 0.7500 0.7500
6 Ru 0.0000 0.0000 0.0000

Values from the calculation:
**SG**: F-43m, No. 216
**Calculated density**: 2.60 g cm⁻³
**Magnetization**: 7.03 μB per formula unit
**Energy relative to the elements**: 1697 meV/atom

***

Record 2
K2MoRu | GGA-PBE | relaxed

a = 5.3216 Å, b = 6.5558 Å, c = 2.7122 Å
α = 82.44°, β = 79.30°, γ = 111.56°
Fractional positions:
1 K 0.0000 0.0000 0.0000
2 K 0.5000 0.0000 0.5000
3 Mo 0.0000 0.5000 0.5000
4 Ru 0.5000 0.5000 0.0000

Values from the calculation:
**Offset from the most stable computed form**: 632 meV per atom
**SG**: C2/m, No. 12
**Calculated density**: 5.42 g cm⁻³
**Magnetization**: 0.00 μB per formula unit
**Energy relative to the elements**: 1363 meV/atom

***

Record 3
KMoRu2 | GGA-PBE | relaxed

a = 3.1435 Å, b = 3.0948 Å, c = 8.8332 Å
α = 69.49°, β = 90.00°, γ = 90.00°
Fractional positions:
1 K 0.5000 0.2500 0.2500
2 Mo 0.5000 0.7500 0.7500
3 Ru 0.0000 0.0800 0.9201
4 Ru 0.0000 0.4200 0.5799

Values from the calculation:
**Offset from the most stable computed form**: 31 meV per atom
**SG**: Pmmm, No. 47
**Calculated density**: 6.96 g cm⁻³
**Magnetization**: 1.32 μB per formula unit
**Energy relative to the elements**: 644 meV/atom